[1]
# Ba3ThGe2O9

Crystalline Ba3ThGe2O9 at its relaxed geometry (PBE-GGA, the Alexandria database).

Summary:
DFT total energy: -6.992 eV per atom
Uncorrected formation energy: -2.522 eV per atom
Space group: P-3m1 (164)
Crystal system: trigonal

abc: 5.8597 5.8597 7.3320
angles: 90.00 90.00 120.00
Sites, in units of the cell vectors:
O (0.0000, 0.5000, 0.0000)
O (0.8215, 0.6429, 0.6896)
O (0.5000, 0.5000, 0.0000)
O (0.6429, 0.8215, 0.3104)
Th (0.0000, 0.0000, 0.5000)
Ba (0.0000, 0.0000, 0.0000)
O (0.1785, 0.8215, 0.3104)
O (0.8215, 0.1785, 0.6896)
Ge (0.6667, 0.3333, 0.8363)
Ba (0.3333, 0.6667, 0.6990)
Ge (0.3333, 0.6667, 0.1637)
O (0.5000, 0.0000, 0.0000)
Ba (0.6667, 0.3333, 0.3010)
O (0.3571, 0.1785, 0.6896)
O (0.1785, 0.3571, 0.3104)

=====

[2]
# K2HfMgS4

Crystalline K2HfMgS4 at its relaxed geometry (PBE-GGA, the Alexandria database).

Summary:
DFT total energy: -5.249 eV per atom
Uncorrected formation energy: -1.467 eV per atom
Space group: P2/m (10)
Crystal system: monoclinic

abc: 3.8250 6.6722 7.6175
angles: 107.07 90.00 90.00
Sites, in units of the cell vectors:
Hf (0.5000, 0.5000, 0.0000)
S (0.0000, 0.7211, 0.1945)
S (0.5000, 0.7602, 0.8119)
K (0.0000, 0.5000, 0.5000)
Mg (0.0000, 0.0000, 0.0000)
S (0.5000, 0.2398, 0.1881)
S (0.0000, 0.2789, 0.8055)
K (0.5000, 0.0000, 0.5000)

=====

[3]
# SrLaSm2

Crystalline SrLaSm2 at its relaxed geometry (PBE-GGA, the Alexandria database).

Summary:
DFT total energy: -3.895 eV per atom
Space group: R3m (160)
Crystal system: trigonal
DFT formation energy: 0.117 eV/atom

abc: 3.7744 3.7744 12.6470
angles: 81.42 81.42 60.00
Sites, in units of the cell vectors:
Sr (0.6665, 0.6665, 0.0004)
La (0.5003, 0.5003, 0.4992)
Sm (0.0875, 0.0875, 0.7374)
Sm (0.2457, 0.2457, 0.2630)